(1)
First-principles (PBE-GGA) data for crystalline La8Ni3PtI4 at its relaxed geometry, as listed in Alexandria.

Output
The calculation puts the size of the total moment at 0.0 μB/cell. The total energy is -82.69 eV per formula unit. The symmetry is No. 12. The calculation puts the density of states at the Fermi level at 0.7992 states/eV per atom.

a = 8.4906 Å, b = 8.4906 Å, c = 9.5747 Å
α = 116.31°, β = 116.31°, γ = 60.11°
Last column: nearest neighbours and their distance in Å.
Sites, in units of the cell vectors:
La1 0.2221 0.7313 0.6851  2 Ni 2.86-2.87, 1 Pt 2.93
La2 0.2274 0.2274 0.6824  3 Ni 2.87-2.88
La3 0.2686 0.2686 0.3148  2 Ni 2.87, 1 Pt 2.92
La4 0.2687 0.7779 0.3149  2 Ni 2.86-2.87, 1 Pt 2.93
La5 0.7313 0.2221 0.6851  2 Ni 2.86-2.87, 1 Pt 2.93
La6 0.7314 0.7314 0.6852  2 Ni 2.87, 1 Pt 2.92
La7 0.7726 0.7726 0.3176  3 Ni 2.87-2.88
La8 0.7779 0.2687 0.3149  2 Ni 2.86-2.87, 1 Pt 2.93
Ni1 0.0000 0.0000 0.5000  6 La 2.87
Ni2 0.0000 0.5000 0.5000  6 La 2.86-2.88
Ni3 0.5000 0.0000 0.5000  6 La 2.86-2.88
Pt1 0.5000 0.5000 0.5000  6 La 2.92-2.93
I1 0.0000 0.0000 0.0000  6 La 3.53-3.54
I2 0.0000 0.5000 0.0000  6 La 3.58
I3 0.5000 0.0000 0.0000  6 La 3.58
I4 0.5000 0.5000 0.0000  6 La 3.58

=====

(2)
First-principles (PBE-GGA) data for crystalline Ac3Tl2N at its relaxed geometry, as listed in Alexandria.

Output
The calculation puts the size of the total moment at 0.0 μB/cell. The symmetry is No. 15. As for the excess energy over the best structure of this formula in the dataset: 0.12 eV/f.u. The calculation puts the density of states at the Fermi level at 0.7586 states/eV per atom.

a = 8.1731 Å, b = 8.1731 Å, c = 7.8381 Å
α = 98.69°, β = 98.69°, γ = 51.71°
Last column: nearest neighbours and their distance in Å.
Sites, in units of the cell vectors:
Ac1 0.1026 0.8974 0.7500  1 N 2.38
Ac2 0.2855 0.4722 0.3620  1 N 2.39
Ac3 0.4722 0.2855 0.8620  1 N 2.39
Ac4 0.5278 0.7145 0.1380  1 N 2.39
Ac5 0.7145 0.5278 0.6380  1 N 2.39
Ac6 0.8974 0.1026 0.2500  1 N 2.38
Tl1 0.0905 0.2715 0.0266  1 Tl 3.12, 2 Ac 3.42-3.43
Tl2 0.2715 0.0905 0.5266  1 Tl 3.12, 2 Ac 3.42-3.43
Tl3 0.7285 0.9095 0.4734  1 Tl 3.12, 2 Ac 3.42-3.43
Tl4 0.9095 0.7285 0.9734  1 Tl 3.12, 2 Ac 3.42-3.43
N1 0.4367 0.5633 0.7500  3 Ac 2.38-2.39
N2 0.5633 0.4367 0.2500  3 Ac 2.38-2.39